TbNd4Mg3: relaxed, PBE-GGA.

```
8
Lattice="3.8596 0.0000 0.0000 0.0000 5.6093 0.0000 0.0000 0.0000 11.2980" Properties=species:S:1:pos:R:3 pbc="T T T"
Tb 0.0000 0.0000 0.0000
Nd 1.9298 0.0000 2.9497
Nd 1.9298 0.0000 8.3484
Nd 1.9298 2.8046 0.0000
Nd 1.9298 2.8046 5.6490
Mg 0.0000 0.0000 5.6490
Mg 0.0000 2.8046 2.8280
Mg 0.0000 2.8046 8.4700
```

Properties
The space-group type is Pmmm, No. 47. As for the density of states at the Fermi level: 10.1 states/eV/cell. Its calculated volume is 244.60 Å³/cell. The formation energy comes out at -0.04 eV/atom. The total magnetic moment is 0.0 Bohr magnetons per cell.

TbNd6Mg2: relaxed, PBE-GGA.

```
9
Lattice="3.0941 -5.3160 0.0000 3.0941 5.3160 0.0000 0.0000 0.0000 8.8218" Properties=species:S:1:pos:R:3 pbc="T T T"
Tb 0.0000 0.0000 0.0000
Nd 1.5071 0.9004 2.9702
Nd 3.0941 1.8459 0.0000
Nd 1.5071 -0.9004 5.8516
Nd 4.6811 0.9004 5.8516
Nd 3.0941 -1.8459 0.0000
Nd 4.6811 -0.9004 2.9702
Mg 1.5470 2.6580 5.9174
Mg 1.5470 -2.6580 2.9044
```

Properties
The space-group type is C222, No. 21. As for the energy relative to the lowest polymorph listed for this composition: 0.0 meV per atom. As for the density of states at the Fermi level: 11.8 states/eV/cell. Its calculated volume is 290.20 Å³/cell. The formation energy comes out at 0.06 eV/atom. The total magnetic moment is 0.0 Bohr magnetons per cell.

Tb2Nd2Mg3: relaxed, PBE-GGA.

```
7
Lattice="3.5754 0.0000 0.0000 1.7786 6.8199 0.0000 1.7767 2.7691 8.6107" Properties=species:S:1:pos:R:3 pbc="T T T"
Tb 0.8846 1.6905 0.3355
Tb 6.2461 7.8985 8.2752
Nd 2.6692 3.8966 2.6951
Nd 4.4614 5.6924 5.9156
Mg 0.8883 1.3845 4.3053
Mg 2.6845 2.8404 6.1293
Mg 4.4462 6.7486 2.4813
```

Properties
The space-group type is P-1, No. 2. As for the energy relative to the lowest polymorph listed for this composition: 17.9 meV per atom. As for the density of states at the Fermi level: 8.7 states/eV/cell. Its calculated volume is 209.97 Å³/cell. The formation energy comes out at 0.02 eV/atom. The total magnetic moment is 0.0 Bohr magnetons per cell.

Tb4Nd15Mg: relaxed, PBE-GGA.

```
20
Lattice="5.1364 0.0000 0.0000 0.0000 5.1364 0.0000 0.0000 0.0000 25.7734" Properties=species:S:1:pos:R:3 pbc="T T T"
Tb 0.0000 0.0000 2.5958
Tb 0.0000 0.0000 7.7974
Tb 0.0000 0.0000 17.9760
Tb 0.0000 0.0000 23.1776
Nd 0.0000 2.5682 0.0000
Nd 0.0000 2.5682 5.1932
Nd 0.0000 2.5682 10.3635
Nd 0.0000 2.5682 15.4099
Nd 0.0000 2.5682 20.5802
Nd 2.5682 0.0000 0.0000
Nd 2.5682 0.0000 5.1932
Nd 2.5682 0.0000 10.3635
Nd 2.5682 0.0000 15.4099
Nd 2.5682 0.0000 20.5802
Nd 2.5682 2.5682 2.6069
Nd 2.5682 2.5682 7.8107
Nd 2.5682 2.5682 12.8867
Nd 2.5682 2.5682 17.9627
Nd 2.5682 2.5682 23.1665
Mg 0.0000 0.0000 12.8867
```

Properties
The space-group type is P4/mmm, No. 123. As for the density of states at the Fermi level: 28.2 states/eV/cell. Its calculated volume is 679.96 Å³/cell. The formation energy comes out at 0.01 eV/atom. The total magnetic moment is 0.0 Bohr magnetons per cell.

TbNd8Mg2: relaxed, PBE-GGA.

```
11
Lattice="4.5041 -7.9668 0.0000 4.5041 7.9668 0.0000 -2.7110 0.0000 5.1920" Properties=species:S:1:pos:R:3 pbc="T T T"
Tb 0.0000 0.0000 0.0000
Nd 0.1638 1.8097 3.3205
Nd 4.5041 4.6165 0.0000
Nd 0.1638 -1.8097 3.3205
Nd 3.1344 0.0000 1.0688
Nd 3.1628 0.0000 4.1232
Nd 6.1335 1.8097 1.8715
Nd 4.5041 -4.6165 0.0000
Nd 6.1335 -1.8097 1.8715
Mg 3.1486 3.0792 2.5960
Mg 3.1486 -3.0792 2.5960
```

Properties
The space-group type is C2/m, No. 12. As for the energy relative to the lowest polymorph listed for this composition: 101.9 meV per atom. As for the density of states at the Fermi level: 13.7 states/eV/cell. Its calculated volume is 372.61 Å³/cell. The formation energy comes out at 0.11 eV/atom. The total magnetic moment is 0.0 Bohr magnetons per cell.

TbNd4Mg2: relaxed, PBE-GGA.

```
7
Lattice="2.8241 1.6305 8.9861 -2.8241 1.6305 8.9861 0.0000 -3.2610 8.9861" Properties=species:S:1:pos:R:3 pbc="T T T"
Tb 0.0000 0.0000 0.0000
Nd 0.0000 0.0000 6.5412
Nd 0.0000 0.0000 9.9704
Nd 0.0000 0.0000 16.9879
Nd 0.0000 0.0000 20.4171
Mg 0.0000 0.0000 3.2679
Mg 0.0000 0.0000 23.6904
```

Properties
The space-group type is R-3m, No. 166. As for the density of states at the Fermi level: 9.7 states/eV/cell. Its calculated volume is 248.27 Å³/cell. The formation energy comes out at 0.26 eV/atom. The total magnetic moment is 0.0 Bohr magnetons per cell.

Tb3NdMg: relaxed, PBE-GGA.

```
10
Lattice="3.4847 0.0000 0.0000 0.0000 5.6336 0.0000 0.0000 0.0000 16.0487" Properties=species:S:1:pos:R:3 pbc="T T T"
Tb 0.0000 0.0000 0.0000
Tb 0.0000 0.0000 6.8146
Tb 0.0000 2.8168 5.0095
Tb 1.7424 0.0000 13.0339
Tb 1.7424 2.8168 8.0244
Tb 1.7424 2.8168 14.8390
Nd 0.0000 2.8168 11.4838
Nd 1.7424 0.0000 3.4594
Mg 0.0000 2.8168 1.7854
Mg 1.7424 0.0000 9.8098
```

Properties
The space-group type is Imm2, No. 44. As for the energy relative to the lowest polymorph listed for this composition: 0.0 meV per atom. As for the density of states at the Fermi level: 13.1 states/eV/cell. Its calculated volume is 315.06 Å³/cell. The formation energy comes out at 0.03 eV/atom. The total magnetic moment is 0.0 Bohr magnetons per cell.

TbNd8Mg2: relaxed, PBE-GGA.

```
11
Lattice="8.9555 -2.5927 0.0000 8.9555 2.5927 0.0000 -2.6501 0.0000 7.8153" Properties=species:S:1:pos:R:3 pbc="T T T"
Tb 0.0000 0.0000 0.0000
Nd 0.4753 0.0000 3.5953
Nd 0.8178 0.0000 7.3168
Nd 4.3030 0.0000 6.2736
Nd 7.3591 0.0000 2.0768
Nd 7.9019 0.0000 5.7385
Nd 10.9580 0.0000 1.5417
Nd 14.4432 0.0000 0.4984
Nd 14.7856 0.0000 4.2200
Mg 3.9194 0.0000 2.8648
Mg 11.3415 0.0000 4.9505
```

Properties
The space-group type is C2/m, No. 12. As for the energy relative to the lowest polymorph listed for this composition: 0.0 meV per atom. As for the density of states at the Fermi level: 16.3 states/eV/cell. Its calculated volume is 362.93 Å³/cell. The formation energy comes out at 0.01 eV/atom. The total magnetic moment is 0.0 Bohr magnetons per cell.

TbNd5Mg4: relaxed, PBE-GGA.

```
10
Lattice="3.8322 0.0000 0.0000 0.0000 3.8322 0.0000 0.0000 0.0000 20.6532" Properties=species:S:1:pos:R:3 pbc="T T T"
Tb 0.0000 0.0000 0.0000
Nd 1.9161 1.9161 2.4151
Nd 1.9161 1.9161 6.3836
Nd 1.9161 1.9161 10.3266
Nd 1.9161 1.9161 14.2696
Nd 1.9161 1.9161 18.2381
Mg 0.0000 0.0000 4.3969
Mg 0.0000 0.0000 8.3442
Mg 0.0000 0.0000 12.3090
Mg 0.0000 0.0000 16.2563
```

Properties
The space-group type is P4/mmm, No. 123. As for the density of states at the Fermi level: 10.7 states/eV/cell. Its calculated volume is 303.31 Å³/cell. The formation energy comes out at -0.08 eV/atom. The total magnetic moment is 0.0 Bohr magnetons per cell.

Tb2Nd8Mg: relaxed, PBE-GGA.

```
11
Lattice="9.2152 -2.5697 0.0000 9.2152 2.5697 0.0000 -2.1413 0.0000 7.8142" Properties=species:S:1:pos:R:3 pbc="T T T"
Tb 3.8671 0.0000 1.0515
Tb 12.4220 0.0000 6.7627
Nd 0.3643 0.0000 1.7489
Nd 1.0628 0.0000 5.3314
Nd 4.6116 0.0000 4.6117
Nd 7.4306 0.0000 0.3999
Nd 8.8585 0.0000 7.4143
Nd 11.6775 0.0000 3.2025
Nd 15.2263 0.0000 2.4828
Nd 15.9248 0.0000 6.0654
Mg 8.1445 0.0000 3.9071
```

Properties
The space-group type is C2/m, No. 12. As for the energy relative to the lowest polymorph listed for this composition: 0.0 meV per atom. As for the density of states at the Fermi level: 15.5 states/eV/cell. Its calculated volume is 370.09 Å³/cell. The formation energy comes out at 0.01 eV/atom. The total magnetic moment is 0.0 Bohr magnetons per cell.

TbNd4Mg5: relaxed, PBE-GGA.

```
10
Lattice="3.8644 0.0000 0.0000 0.0000 3.8644 0.0000 0.0000 0.0000 19.4114" Properties=species:S:1:pos:R:3 pbc="T T T"
Tb 0.0000 0.0000 0.0000
Nd 0.0000 0.0000 3.8144
Nd 0.0000 0.0000 7.7405
Nd 0.0000 0.0000 11.6709
Nd 0.0000 0.0000 15.5970
Mg 1.9322 1.9322 1.8529
Mg 1.9322 1.9322 5.7761
Mg 1.9322 1.9322 9.7057
Mg 1.9322 1.9322 13.6353
Mg 1.9322 1.9322 17.5585
```

Properties
The space-group type is P4/mmm, No. 123. As for the density of states at the Fermi level: 11.8 states/eV/cell. Its calculated volume is 289.89 Å³/cell. The formation energy comes out at -0.10 eV/atom. The total magnetic moment is 0.0 Bohr magnetons per cell.

Tb3Nd2Mg: relaxed, PBE-GGA.

```
12
Lattice="3.3331 0.0000 0.0000 0.0000 10.0883 0.0000 0.0000 0.0000 11.8342" Properties=species:S:1:pos:R:3 pbc="T T T"
Tb 0.0000 0.0000 0.0000
Tb 0.0000 3.3839 11.5993
Tb 0.0000 6.7044 11.5993
Tb 1.6666 1.6602 5.6822
Tb 1.6666 5.0441 5.9171
Tb 1.6666 8.4281 5.6822
Nd 0.0000 1.7299 8.6434
Nd 0.0000 8.3584 8.6434
Nd 1.6666 3.3143 2.7263
Nd 1.6666 6.7740 2.7263
Mg 0.0000 5.0441 8.7913
Mg 1.6666 0.0000 2.8742
```

Properties
The space-group type is Imm2, No. 44. As for the energy relative to the lowest polymorph listed for this composition: 361.5 meV per atom. As for the density of states at the Fermi level: 20.1 states/eV/cell. Its calculated volume is 397.93 Å³/cell. The formation energy comes out at 0.37 eV/atom. The total magnetic moment is 0.0 Bohr magnetons per cell.

The lowest calculated volume belongs to which entry? Tb2Nd2Mg3

Which of these has the lowest density of states at the Fermi level? Tb2Nd2Mg3

Which of these has the lowest density of states at the Fermi level? Tb2Nd2Mg3